Compound: BaNaCa2Hg
Source: Alexandria via LeMat-Bulk
Functional: PBE-GGA
Structure: optimized geometry

POSCAR file:
```
BaNaCa2Hg
1.0
6.053 0.000 0.000
0.000 6.053 0.000
0.000 0.000 6.495
Na Ca Hg Ba
1 2 1 1
Direct
0.500 0.500 0.500
0.000 0.500 0.000
0.500 0.000 0.000
0.000 0.000 0.000
0.000 0.000 0.500
```

## Properties
For the total magnetization, the calculation gives 0.00 μB/cell. The total energy is -8.093 eV/cell. The space group is P4/mmm (123). The value obtained for the offset from the most stable computed form is 0.0 meV/atom. Its formation enthalpy at 0 K is -0.11 eV per atom.